Material: RbTa2Ag
Method: DFT, PBE
State: relaxed

Values from the calculation:
For the energy above the most stable polymorph in this dataset, the calculation gives 1.510 eV per formula unit. The calculated total energy is -5.02 eV per atom.

```
data_RbTa2Ag
_space_group_name_H-M_alt 'F m -3 m'
_space_group_IT_number 225
_space_group_name_Hall '-F 4 2 3'
_cell_length_a 6.870
_cell_length_b 6.870
_cell_length_c 6.870
_cell_angle_alpha 90.00
_cell_angle_beta 90.00
_cell_angle_gamma 90.00
loop_
_atom_site_label
_atom_site_type_symbol
_atom_site_fract_x
_atom_site_fract_y
_atom_site_fract_z
_atom_site_occupancy
Rb1 Rb 0.000 0.000 0.000 1
Ta1 Ta 0.250 0.250 0.250 1
Ag1 Ag 0.000 0.000 0.500 1
```



Material: PrTa2FeN4
Method: DFT, PBE
State: relaxed

Values from the calculation:
The calculated total energy is -9.74 eV per atom. The raw formation energy comes out at -0.962 eV per atom.

```
data_PrTa2FeN4
_space_group_name_H-M_alt 'C m c m'
_space_group_IT_number 63
_space_group_name_Hall '-C 2c 2'
_cell_length_a 3.142
_cell_length_b 10.944
_cell_length_c 10.884
_cell_angle_alpha 90.00
_cell_angle_beta 90.00
_cell_angle_gamma 90.00
loop_
_atom_site_label
_atom_site_type_symbol
_atom_site_fract_x
_atom_site_fract_y
_atom_site_fract_z
_atom_site_occupancy
Pr1 Pr 0.000 0.107 0.250 1
Ta1 Ta 0.000 0.369 0.058 1
Fe1 Fe 0.000 0.159 0.750 1
N1 N 0.000 0.000 0.000 1
N2 N 0.000 0.269 0.609 1
N3 N 0.000 0.440 0.250 1
```



Material: Rb3Cd2Ag3
Method: DFT, PBE
State: relaxed

Values from the calculation:
For the energy above the most stable polymorph in this dataset, the calculation gives 0.090 eV per formula unit. The calculated total energy is -1.65 eV per atom.

```
data_Rb3Cd2Ag3
_space_group_name_H-M_alt 'C m c m'
_space_group_IT_number 63
_space_group_name_Hall '-C 2c 2'
_cell_length_a 4.615
_cell_length_b 12.946
_cell_length_c 19.326
_cell_angle_alpha 90.00
_cell_angle_beta 90.00
_cell_angle_gamma 90.00
loop_
_atom_site_label
_atom_site_type_symbol
_atom_site_fract_x
_atom_site_fract_y
_atom_site_fract_z
_atom_site_occupancy
Rb1 Rb 0.000 0.060 0.250 1
Rb2 Rb 0.000 0.132 0.047 1
Cd1 Cd 0.000 0.198 0.661 1
Ag1 Ag 0.000 0.333 0.250 1
Ag2 Ag 0.000 0.413 0.111 1
```